## TiPd3Au4 (PBE)

Data for a relaxed TiPd3Au4 crystal.

Computed properties:
Crystal system: orthorhombic
Calculated total energy, eV/atom: -4.61
V, Å³ per atom: 17.68
D(E_F), states/eV per cell: 10.1
Formation energy, meV/atom: -35

a b c (Å): 3.0800 4.0002 22.9637
angles (deg): 90.00 90.00 90.00
Space group Immm (No. 71)
Symmetry-distinct sites (fractional):
Ti 0.0000 0.0000 0.0000
Pd 0.0000 0.0000 0.5000
Pd 0.0000 0.5000 0.2196
Au 0.0000 0.5000 0.0980
Au 0.0000 0.5000 0.3408